A relaxed structure of NaFeP2O. Source: Alexandria, functional PBE+U.

Structure (POSCAR):
```
NaFeP2O
1.0
-3.309 2.207 2.701
1.055 -2.915 3.675
2.699 2.535 1.236
P Na O Fe
2 1 1 1
Cartesian
-1.655 1.103 1.351
0.528 -1.458 1.837
0.000 0.000 0.000
1.350 1.267 0.618
0.223 0.913 3.806
```

Output
E: -14.1 eV for the cell shown
energy relative to the lowest polymorph listed for this composition: 1548 meV/atom